# 1
Density functional theory data (PBE) for crystalline BC at its relaxed geometry.

Properties
crystal system = monoclinic

abc: 4.310 4.310 8.721
angles: 122.56 122.56 35.07
Fractional positions:
B (0.641, 0.641, 0.329)
B (0.446, 0.446, 0.381)
B (0.334, 0.334, 0.147)
B (0.002, 0.002, 0.015)
B (0.711, 0.711, 0.812)
B (0.537, 0.537, 0.887)
C (0.180, 0.180, 0.232)
C (0.796, 0.796, 0.026)
C (0.350, 0.350, 0.661)
C (0.186, 0.186, 0.694)
C (0.989, 0.989, 0.514)
C (0.830, 0.830, 0.551)

# 2
Density functional theory data (PBE) for crystalline BC at its relaxed geometry.

Properties
crystal system = triclinic

abc: 4.751 4.673 5.414
angles: 101.33 103.21 44.48
Fractional positions:
B (0.077, 0.975, 0.998)
B (0.504, 0.092, 0.432)
B (0.652, 0.601, 0.308)
B (0.932, 0.482, 0.609)
B (0.079, 0.991, 0.485)
B (0.506, 0.108, 0.919)
C (0.200, 0.731, 0.229)
C (0.302, 0.331, 0.172)
C (0.282, 0.752, 0.744)
C (0.384, 0.353, 0.688)
C (0.676, 0.670, 0.842)
C (0.907, 0.413, 0.074)

# 3
Density functional theory data (PBE) for crystalline B3C5 at its relaxed geometry.

Properties
crystal system = monoclinic

abc: 2.527 3.887 5.315
angles: 91.49 90.00 90.00
Fractional positions:
B (0.500, 0.531, 0.239)
B (0.000, 0.237, 0.297)
B (0.000, 0.990, 0.954)
C (0.500, 0.743, 0.989)
C (0.500, 0.501, 0.742)
C (0.000, 0.273, 0.747)
C (0.000, 0.975, 0.514)
C (0.500, 0.751, 0.518)

# 4
Density functional theory data (PBE) for crystalline BC at its relaxed geometry.

Properties
crystal system = monoclinic

abc: 4.573 4.573 7.894
angles: 114.77 114.77 33.69
Fractional positions:
B (0.663, 0.663, 0.356)
B (0.156, 0.156, 0.188)
B (0.831, 0.831, 0.062)
B (0.682, 0.682, 0.805)
B (0.558, 0.558, 0.953)
B (0.300, 0.300, 0.611)
C (0.489, 0.489, 0.378)
C (0.340, 0.340, 0.188)
C (0.986, 0.986, 0.986)
C (0.159, 0.159, 0.688)
C (0.996, 0.996, 0.498)
C (0.840, 0.840, 0.539)

# 5
Density functional theory data (PBE) for crystalline B3C2 at its relaxed geometry.

Properties
crystal system = monoclinic

abc: 4.435 4.435 6.492
angles: 75.62 75.62 33.33
Fractional positions:
B (0.399, 0.399, 0.796)
B (0.165, 0.165, 0.818)
B (0.014, 0.014, 0.628)
B (0.986, 0.986, 0.372)
B (0.835, 0.835, 0.182)
B (0.601, 0.601, 0.204)
C (0.217, 0.217, 0.558)
C (0.783, 0.783, 0.442)
C (0.596, 0.596, 0.961)
C (0.404, 0.404, 0.039)

# 6
Density functional theory data (PBE) for crystalline B3C2 at its relaxed geometry.

Properties
crystal system = orthorhombic

abc: 7.198 7.198 7.198
angles: 159.36 146.07 40.05
Fractional positions:
B (0.699, 0.770, 0.930)
B (0.654, 0.602, 0.052)
B (0.345, 0.077, 0.267)
B (0.450, 0.398, 0.052)
B (0.190, 0.923, 0.267)
B (0.160, 0.230, 0.930)
C (0.538, 0.295, 0.243)
C (0.949, 0.705, 0.243)
C (0.987, 0.000, 0.987)
C (0.780, 0.500, 0.280)

# 7
Density functional theory data (PBE) for crystalline B3C at its relaxed geometry.

Properties
crystal system = monoclinic

abc: 4.593 4.593 5.999
angles: 75.10 75.10 49.71
Fractional positions:
B (0.796, 0.204, 0.000)
B (0.375, 0.618, 0.356)
B (0.750, 0.643, 0.153)
B (0.844, 0.406, 0.433)
B (0.265, 0.368, 0.283)
B (0.594, 0.156, 0.567)
B (0.382, 0.625, 0.644)
B (0.632, 0.735, 0.717)
B (0.357, 0.250, 0.847)
C (0.034, 0.966, 0.500)
C (0.915, 0.444, 0.912)
C (0.556, 0.085, 0.088)

# 8
Density functional theory data (PBE) for crystalline B3C2 at its relaxed geometry.

Properties
crystal system = orthorhombic

abc: 10.389 10.389 10.389
angles: 165.68 165.12 20.71
Fractional positions:
B (0.777, 0.527, 0.750)
B (0.845, 0.095, 0.250)
B (0.573, 0.323, 0.750)
B (0.427, 0.677, 0.250)
B (0.155, 0.905, 0.750)
B (0.223, 0.473, 0.250)
C (0.617, 0.867, 0.250)
C (0.383, 0.133, 0.750)
C (0.982, 0.732, 0.750)
C (0.018, 0.268, 0.250)

| no. | Fermi-level density of states (states/eV per atom) | calculated formation energy (meV/atom) | ΔE to the lowest computed polymorph (eV per atom) |
| --- | --- | --- | --- |
| 1 | 0.1590 | 309 | 0.158 |
| 2 | 0.0337 | 379 | 0.229 |
| 3 | 0.0612 | 401 | 0.127 |
| 4 | 0.1627 | 331 | 0.180 |
| 5 | 0.0598 | 453 | 0.242 |
| 6 | 0.1419 | 364 | 0.153 |
| 7 | 0.1424 | 340 | 0.100 |
| 8 | 0.2136 | 452 | 0.242 |